RbPmUS4 (PBE, relaxed); size of the total moment = 0.29 μB per atom; formation energy from raw total energies = -1.581 eV per atom
1.0
8.4487 0.0000 0.0000
-4.2243 7.3943 -0.6031
0.0000 -4.5276 7.4457
U S Rb Pm
2 8 2 2
direct
0.5000 0.5000 0.5000
0.0000 0.5000 0.5000
0.2648 0.5295 0.7136
0.6874 0.9467 0.7233
0.7352 0.4705 0.2864
0.3126 0.0533 0.2767
0.7352 0.4705 0.6840
0.2593 0.9467 0.7234
0.2648 0.5295 0.3160
0.7407 0.0533 0.2766
0.1301 0.2602 0.8801
0.8699 0.7398 0.1199
0.5000 0.0000 0.5000
0.5000 0.0000 0.0000